(1)
This record from the Alexandria database describes an optimized crystal structure of Na3Sm3TcO8. The functional is PBE.

Cell and atoms, written as POSCAR:
```
Na3Sm3TcO8
1.0
-3.724 0.174 5.779
-3.108 -0.903 -6.068
3.881 -4.977 2.650
O Tc Na Sm
8 1 3 3
Cartesian
-1.147 -4.334 -2.869 O
0.251 -1.469 2.038 O
-1.496 -1.844 -0.908 O
0.570 -3.835 0.482 O
-1.457 -3.863 3.270 O
-3.204 -4.238 0.323 O
-3.522 -1.872 1.879 O
-1.805 -1.373 5.230 O
1.940 -2.488 1.325 Tc
0.000 0.000 0.000 Na
-1.554 -0.452 -3.034 Na
-3.416 -0.365 -0.145 Na
0.386 -2.940 -1.709 Sm
-1.476 -2.853 1.181 Sm
0.078 -2.402 4.215 Sm
```

Computed properties:
Total energy: -6.948 eV/atom
Crystal system: trigonal

***

(2)
This record from the Alexandria database describes an optimized crystal structure of NaSmTcO5. The functional is PBE.

Cell and atoms, written as POSCAR:
```
NaSmTcO5
1.0
-2.667 2.446 -5.034
4.816 -3.076 -2.404
-5.188 -5.965 2.240
Na Sm O Tc
2 2 10 2
Cartesian
-4.209 -3.761 -2.529 Na
1.170 -2.834 -2.670 Na
0.000 0.000 0.000 Sm
-2.594 -2.983 1.120 Sm
-0.110 -0.613 -2.345 O
-0.913 -2.573 -4.176 O
-1.673 -7.024 -0.497 O
-3.078 -1.091 -3.022 O
-2.126 -4.022 -1.022 O
2.876 -4.093 -2.070 O
-5.916 -2.502 -3.128 O
0.039 -5.504 -2.177 O
-2.929 -5.982 -2.853 O
-1.366 0.429 -4.702 O
-1.661 -5.642 -1.633 Tc
-1.378 -0.953 -3.565 Tc
```

Computed properties:
Total energy: -7.163 eV/atom
Crystal system: monoclinic

***

(3)
This record from the Alexandria database describes an optimized crystal structure of NaSm2TcO6. The functional is PBE.

Cell and atoms, written as POSCAR:
```
NaSm2TcO6
1.0
5.728 0.000 0.000
2.864 4.960 0.000
2.864 1.654 4.934
O Sm Tc Na
6 2 1 1
Cartesian
7.923 3.226 1.202 O
6.448 1.937 3.842 O
4.700 5.248 1.202 O
4.181 3.369 3.842 O
4.560 1.447 1.202 O
6.555 4.616 3.842 O
5.728 3.307 1.999 Sm
2.864 1.654 4.541 Sm
2.864 1.653 0.191 Tc
8.592 4.961 2.881 Na
```

Computed properties:
Total energy: -7.516 eV/atom
Crystal system: trigonal

***

(4)
This record from the Alexandria database describes an optimized crystal structure of NaSmTc2O8. The functional is PBE.

Cell and atoms, written as POSCAR:
```
NaSmTc2O8
1.0
-1.541 -4.228 -2.788
2.186 -3.184 3.621
-5.372 3.598 2.538
Sm Tc O Na
1 2 8 1
Cartesian
0.000 0.000 0.000 Sm
-1.432 -1.646 3.287 Tc
0.323 -3.706 0.416 Tc
-0.151 -5.178 1.337 O
-1.609 -1.073 4.976 O
-0.252 -2.996 3.283 O
-2.972 -2.256 2.603 O
-0.759 -2.268 0.405 O
-4.998 -0.647 1.238 O
-0.893 -0.260 2.287 O
-3.546 0.464 3.760 O
-3.295 -2.168 0.083 Na
```

Computed properties:
Total energy: -7.432 eV/atom
Crystal system: tetragonal

***

(5)
This record from the Alexandria database describes an optimized crystal structure of Na3Sm2TcO6. The functional is PBE.

Cell and atoms, written as POSCAR:
```
Na3Sm2TcO6
1.0
-4.535 -2.837 -2.113
5.255 -1.955 -1.284
-0.324 -1.752 5.691
O Tc Na Sm
6 1 3 2
Cartesian
1.622 -1.405 0.596 O
0.487 -4.040 -1.459 O
1.818 -4.865 1.957 O
-1.423 -1.679 0.338 O
-1.227 -5.139 1.699 O
-0.092 -2.504 3.754 O
0.000 0.000 0.000 Tc
0.198 -3.272 1.147 Na
-3.163 -3.575 0.863 Na
3.558 -2.969 1.432 Na
2.065 -2.242 -1.554 Sm
-1.346 -2.550 -1.843 Sm
```

Computed properties:
Total energy: -6.609 eV/atom
Crystal system: monoclinic

***

(6)
This record from the Alexandria database describes an optimized crystal structure of Na2Sm2TcO6. The functional is PBE.

Cell and atoms, written as POSCAR:
```
Na2Sm2TcO6
1.0
-4.754 1.975 -2.860
-0.634 -3.685 4.550
1.033 4.870 3.145
Sm O Na Tc
2 6 2 1
Cartesian
-2.851 2.505 1.206 Sm
-1.504 0.654 3.629 Sm
-3.367 2.116 3.488 O
-0.988 1.044 1.347 O
0.306 2.167 3.648 O
-4.661 0.993 1.187 O
-0.965 3.913 1.362 O
-3.390 -0.753 3.473 O
-4.169 1.170 -1.807 Na
-1.219 -2.880 3.497 Na
0.517 2.435 1.572 Tc
```

Computed properties:
Total energy: -7.024 eV/atom
Crystal system: monoclinic

***

(7)
This record from the Alexandria database describes an optimized crystal structure of Na2SmTcO6. The functional is PBE.

Cell and atoms, written as POSCAR:
```
Na2SmTcO6
1.0
5.658 0.000 -0.038
0.000 5.837 0.000
-0.005 0.000 8.121
O Sm Na Tc
12 2 4 2
Cartesian
5.110 3.120 1.778 O
4.675 4.495 7.629 O
1.848 4.261 3.588 O
0.978 1.342 0.454 O
3.805 1.577 4.495 O
3.375 0.202 2.226 O
1.539 3.965 0.364 O
4.366 4.790 4.406 O
0.544 2.717 6.305 O
1.287 1.047 3.677 O
4.114 1.872 7.719 O
2.278 5.635 5.857 O
-0.002 2.919 4.060 Sm
2.829 0.000 -0.019 Sm
0.063 5.588 2.052 Na
2.764 2.669 1.990 Na
2.890 3.168 6.093 Na
5.590 0.250 6.031 Na
2.827 0.000 4.041 Tc
0.000 2.919 0.000 Tc
```

Computed properties:
Total energy: -6.692 eV/atom
Crystal system: monoclinic

***

(8)
This record from the Alexandria database describes an optimized crystal structure of NaSm2TeO6. The functional is PBE.

Cell and atoms, written as POSCAR:
```
NaSm2TeO6
1.0
5.874 0.000 0.000
2.937 5.087 0.000
2.937 1.696 5.056
Na Te O Sm
1 1 6 2
Cartesian
8.811 5.087 3.010 Na
2.937 1.696 0.197 Te
8.034 3.410 1.207 O
4.778 5.253 1.207 O
4.308 3.390 3.931 O
6.656 4.748 3.931 O
6.658 2.036 3.931 O
4.810 1.512 1.207 O
5.874 3.391 2.042 Sm
2.937 1.696 4.694 Sm
```

Computed properties:
Total energy: -6.666 eV/atom
Crystal system: trigonal

***

(9)
This record from the Alexandria database describes an optimized crystal structure of Na2Sm2TeO6. The functional is PBE.

Cell and atoms, written as POSCAR:
```
Na2Sm2TeO6
1.0
-1.067 -0.688 -5.919
2.986 -4.289 3.054
-5.463 -1.177 1.996
O Na Te Sm
6 2 1 2
Cartesian
-2.754 -2.464 2.266 O
-2.401 -4.576 -0.752 O
0.540 -4.873 -0.189 O
-0.791 -3.690 -3.135 O
-1.143 -1.578 -0.117 O
-4.085 -1.281 -0.680 O
2.365 -3.737 1.679 Na
-0.446 -1.240 -4.543 Na
-2.732 -0.588 0.998 Te
-2.438 -2.486 -1.907 Sm
-1.107 -3.668 1.039 Sm
```

Computed properties:
Total energy: -6.270 eV/atom
Crystal system: monoclinic

***

(10)
This record from the Alexandria database describes an optimized crystal structure of NaSmTe2O6. The functional is PBE.

Cell and atoms, written as POSCAR:
```
NaSmTe2O6
1.0
-3.108 5.907 -1.053
-3.979 -0.505 5.623
5.142 3.766 2.661
Sm O Te Na
2 12 4 2
Cartesian
-3.785 1.427 5.044 Sm
1.839 7.742 2.187 Sm
-1.994 6.060 -0.204 O
2.191 4.579 5.605 O
-4.136 4.590 1.626 O
-1.813 2.463 0.768 O
-1.039 7.634 2.205 O
1.215 3.414 0.920 O
-3.160 5.755 6.312 O
-2.232 3.394 3.623 O
-0.132 6.706 6.463 O
-0.906 1.535 5.026 O
0.287 5.774 3.608 O
0.049 3.109 7.436 O
-1.054 3.269 5.796 Te
-0.486 7.216 4.581 Te
-1.459 1.953 2.650 Te
-0.892 5.900 1.435 Te
1.763 4.025 3.243 Na
-3.709 5.144 3.989 Na
```

Computed properties:
Total energy: -5.967 eV/atom
Crystal system: monoclinic

***

(11)
This record from the Alexandria database describes an optimized crystal structure of NaSmTi4O12. The functional is PBE.

Cell and atoms, written as POSCAR:
```
NaSmTi4O12
1.0
-1.638 -3.511 -3.815
5.178 -0.911 -1.385
0.369 -5.852 5.227
O Na Ti Sm
12 1 4 1
Cartesian
1.128 -5.345 2.555 O
0.115 -4.460 -1.815 O
2.951 -7.622 -0.123 O
2.774 -3.381 1.921 O
2.589 -0.456 -0.693 O
2.781 -4.929 -2.528 O
-0.819 -1.755 -1.907 O
-0.635 -4.681 0.706 O
3.624 -3.121 -0.564 O
0.958 -2.652 0.150 O
3.794 -5.814 1.842 O
0.284 -7.153 0.591 O
1.770 -2.211 -2.600 Na
-0.731 -3.153 -0.659 Ti
-0.538 -6.209 2.071 Ti
2.677 -1.853 0.556 Ti
2.870 -4.909 3.286 Ti
0.184 -2.926 2.614 Sm
```

Computed properties:
Total energy: -7.832 eV/atom
Crystal system: tetragonal

***

(12)
This record from the Alexandria database describes an optimized crystal structure of Na2SmTiO4. The functional is PBE.

Cell and atoms, written as POSCAR:
```
Na2SmTiO4
1.0
-1.625 -2.873 0.130
4.574 -2.484 2.294
-3.399 2.119 4.317
Na O Sm Ti
2 4 1 1
Cartesian
0.587 -0.183 3.305 Na
-2.512 -0.377 2.223 Na
-0.538 -1.529 1.448 O
2.797 -1.460 2.688 O
-1.622 1.095 3.923 O
0.087 -1.709 5.293 O
1.474 -2.678 1.212 Sm
0.000 0.000 0.000 Ti
```

Computed properties:
Total energy: -6.844 eV/atom
Crystal system: monoclinic

***

Among the records above, which one has the highest total energy?
NaSmTe2O6

***

What did the fourth record say?
This record from the Alexandria database describes an optimized crystal structure of NaSmTc2O8. The functional is PBE.

Cell and atoms, written as POSCAR:
```
NaSmTc2O8
1.0
-1.541 -4.228 -2.788
2.186 -3.184 3.621
-5.372 3.598 2.538
Sm Tc O Na
1 2 8 1
Cartesian
0.000 0.000 0.000 Sm
-1.432 -1.646 3.287 Tc
0.323 -3.706 0.416 Tc
-0.151 -5.178 1.337 O
-1.609 -1.073 4.976 O
-0.252 -2.996 3.283 O
-2.972 -2.256 2.603 O
-0.759 -2.268 0.405 O
-4.998 -0.647 1.238 O
-0.893 -0.260 2.287 O
-3.546 0.464 3.760 O
-3.295 -2.168 0.083 Na
```

Computed properties:
Total energy: -7.432 eV/atom
Crystal system: tetragonal